[1]
9
Lattice="7.887 0.000 0.000 -3.944 6.830 0.000 0.000 0.000 3.649" Properties=species:S:1:pos:R:3 comment="PBE-GGA Hf3Zr3FeBi2, optimized geometry" magmom_total_mub_per_fu=0.10 polymorph_energy_kj_per_mol_fu=0 pbc="T T T"
Hf -0.916 1.586 0.000
Hf 1.832 0.000 0.000
Hf 3.028 5.244 0.000
Zr -2.413 4.180 1.825
Zr 1.530 2.650 1.825
Zr 4.827 0.000 1.825
Fe 0.000 0.000 1.825
Bi 0.000 4.554 0.000
Bi 3.944 2.277 0.000

=====

[2]
4
Lattice="0.000 3.716 3.716 3.716 0.000 3.716 3.716 3.716 0.000" Properties=species:S:1:pos:R:3 comment="PBE-GGA FeHgBi2, optimized geometry" magmom_total_mub_per_fu=3.06 final_energy_ev_per_cell=-14.32 pbc="T T T"
Fe 0.000 0.000 0.000
Hg 5.574 5.574 5.574
Bi 1.858 1.858 1.858
Bi 3.716 3.716 3.716

=====

[3]
3
Lattice="0.000 3.277 3.277 3.277 0.000 3.277 3.277 3.277 0.000" Properties=species:S:1:pos:R:3 comment="PBE-GGA FeHgBi, optimized geometry" magmom_total_mub_per_fu=2.54 final_energy_ev_per_cell=-11.43 pbc="T T T"
Fe 0.000 0.000 0.000
Hg 1.638 1.638 1.638
Bi 4.915 4.915 4.915